[1]
Material: Y2MgMo
Method: DFT, PBE-GGA
State: relaxed

Cell lengths 3.1571, 3.1571, 9.7096 Å; angles 90.00, 90.00, 90.00 degrees
With the nearest neighbours (Å) after each atom.
Positions (direct):
1 Y 0.0000 0.0000 0.0000  4 Mo 3.12, 4 Y 3.16
2 Y 0.5000 0.5000 0.3133  4 Y 3.16, 4 Mg 3.40
3 Mg 0.0000 0.0000 0.5770  4 Mo 2.95, 4 Mg 3.16
4 Mo 0.5000 0.5000 0.7751  4 Mg 2.95, 4 Y 3.12, 4 Mo 3.16


[2]
Material: YMg6Mo
Method: DFT, PBE-GGA
State: relaxed

Cell lengths 5.0073, 6.4748, 6.4748 Å; angles 57.56, 90.00, 90.00 degrees
With the nearest neighbours (Å) after each atom.
Positions (direct):
1 Y 0.0000 0.0000 0.0000  2 Mo 2.84, 4 Mg 3.03-3.13
2 Mg 0.0000 0.0074 0.5278  8 Mg 2.99-3.34, 1 Y 3.03, 2 Mo 3.19
3 Mg 0.0000 0.5252 0.5252  10 Mg 3.07-3.34, 2 Y 3.13
4 Mg 0.0000 0.5278 0.0074  8 Mg 2.99-3.34, 1 Y 3.03, 2 Mo 3.19
5 Mg 0.5000 0.3685 0.3685  10 Mg 3.07-3.27, 2 Mo 3.12
6 Mg 0.5000 0.3733 0.8717  8 Mg 3.00-3.27, 2 Mo 3.14-3.33, 2 Y 3.26
7 Mg 0.5000 0.8717 0.3733  8 Mg 3.00-3.27, 2 Mo 3.14-3.33, 2 Y 3.26
8 Mo 0.5000 0.8821 0.8821  2 Y 2.84, 4 Mg 3.12-3.14

E above lowest polymorph   0 meV/atom


[3]
Material: Y2MgMo
Method: DFT, PBE-GGA
State: relaxed

Cell lengths 10.8259, 10.8259, 10.8259 Å; angles 156.58, 156.58, 33.37 degrees
With the nearest neighbours (Å) after each atom.
Positions (direct):
1 Y 0.1085 0.6250 0.9835  2 Mo 3.00, 4 Y 3.01-3.21, 2 Mg 3.05
2 Y 0.3750 0.3585 0.4835  2 Mo 3.00, 4 Y 3.01-3.21, 2 Mg 3.05
3 Y 0.6415 0.1250 0.0165  2 Mo 3.00, 4 Y 3.01-3.21, 2 Mg 3.05
4 Y 0.8750 0.8915 0.5165  2 Mo 3.00, 4 Y 3.01-3.21, 2 Mg 3.05
5 Mg 0.2500 0.7500 0.5000  4 Y 3.05, 4 Mo 3.11
6 Mg 0.5000 0.5000 0.0000  4 Y 3.05, 4 Mo 3.11
7 Mo 0.0000 0.0000 0.0000  4 Y 3.00, 4 Mg 3.11
8 Mo 0.7500 0.2500 0.5000  4 Y 3.00, 4 Mg 3.11


[4]
Material: Y3MgMo
Method: DFT, PBE-GGA
State: relaxed

Cell lengths 5.4082, 5.4082, 5.4082 Å; angles 90.00, 90.00, 90.00 degrees
With the nearest neighbours (Å) after each atom.
Positions (direct):
1 Y 0.0000 0.0000 0.5000  2 Mo 2.70
2 Y 0.0000 0.5000 0.0000  2 Mo 2.70
3 Y 0.5000 0.0000 0.0000  2 Mo 2.70
4 Mg 0.5000 0.5000 0.5000  12 Y 3.82
5 Mo 0.0000 0.0000 0.0000  6 Y 2.70

E above lowest polymorph   0 meV/atom


[5]
Material: Y2MgMo
Method: DFT, PBE-GGA
State: relaxed

Cell lengths 5.9612, 5.9612, 5.4294 Å; angles 108.16, 108.16, 32.32 degrees
With the nearest neighbours (Å) after each atom.
Positions (direct):
1 Y 0.0000 0.0000 0.0000  4 Mo 3.11-3.30, 3 Mg 3.18-3.34, 2 Y 3.32
2 Y 0.2063 0.2063 0.6466  3 Mo 3.08-3.34, 4 Mg 3.21-3.29, 2 Y 3.32
3 Mg 0.7677 0.7677 0.1980  2 Mo 2.86, 1 Y 3.18
4 Mo 0.4670 0.4670 0.4977  2 Mg 2.86, 4 Y 3.08-3.11


[6]
Material: YMgMo
Method: DFT, PBE-GGA
State: relaxed

Cell lengths 5.0114, 5.0114, 2.9325 Å; angles 90.00, 90.00, 120.00 degrees
With the nearest neighbours (Å) after each atom.
Positions (direct):
1 Y 0.0000 0.0000 0.0000  2 Y 2.93, 3 Mg 3.17, 3 Mo 3.18
2 Mg 0.6667 0.3333 0.4398  3 Mo 2.91, 2 Mg 2.93, 3 Y 3.17
3 Mo 0.3333 0.6667 0.5492  3 Mg 2.91, 2 Mo 2.93, 3 Y 3.18

E above lowest polymorph   36 meV/atom


[7]
Material: YMgMo
Method: DFT, PBE-GGA
State: relaxed

Cell lengths 4.8988, 4.8988, 4.8988 Å; angles 60.00, 60.00, 60.00 degrees
With the nearest neighbours (Å) after each atom.
Positions (direct):
1 Y 0.0000 0.0000 0.0000  4 Mo 3.00, 4 Mg 3.00
2 Mg 0.2500 0.2500 0.2500  4 Y 3.00
3 Mo 0.7500 0.7500 0.7500  4 Y 3.00

E above lowest polymorph   910 meV/atom


[8]
Material: Y2MgMo
Method: DFT, PBE-GGA
State: relaxed

Cell lengths 5.0774, 5.0774, 5.0774 Å; angles 60.00, 60.00, 60.00 degrees
With the nearest neighbours (Å) after each atom.
Positions (direct):
1 Y 0.0000 0.0000 0.0000  4 Mg 3.11, 4 Y 3.11
2 Y 0.2500 0.2500 0.2500  4 Mo 3.11, 4 Y 3.11
3 Mg 0.7500 0.7500 0.7500  4 Y 3.11, 4 Mo 3.11
4 Mo 0.5000 0.5000 0.5000  4 Mg 3.11, 4 Y 3.11


[9]
Material: YMg6Mo
Method: DFT, PBE-GGA
State: relaxed

Cell lengths 5.0728, 6.5336, 6.5336 Å; angles 55.40, 90.00, 90.00 degrees
With the nearest neighbours (Å) after each atom.
Positions (direct):
1 Y 0.0000 0.0000 0.0000  2 Mo 3.04, 10 Mg 3.16-3.28
2 Mg 0.0000 0.4990 0.9982  8 Mg 3.03-3.23, 2 Mo 3.17-3.36, 2 Y 3.25-3.28
3 Mg 0.0000 0.9982 0.4990  8 Mg 3.03-3.23, 2 Mo 3.17-3.36, 2 Y 3.25-3.28
4 Mg 0.5000 0.1623 0.1623  10 Mg 3.05-3.37, 2 Y 3.16
5 Mg 0.5000 0.1700 0.6429  6 Mg 2.87-3.20, 2 Mo 3.07, 2 Y 3.19
6 Mg 0.5000 0.6352 0.6352  8 Mg 3.01-3.23, 2 Mo 3.05
7 Mg 0.5000 0.6429 0.1700  6 Mg 2.87-3.20, 2 Mo 3.07, 2 Y 3.19
8 Mo 0.0000 0.4894 0.4894  2 Y 3.04, 10 Mg 3.05-3.36

E above lowest polymorph   21 meV/atom


[10]
Material: Y2MgMo
Method: DFT, PBE-GGA
State: relaxed

Cell lengths 5.7888, 5.7888, 5.7888 Å; angles 138.79, 131.02, 65.88 degrees
With the nearest neighbours (Å) after each atom.
Positions (direct):
1 Y 0.0000 0.0000 0.0000  4 Mo 3.16, 4 Mg 3.26-3.34, 4 Y 3.27-3.33
2 Y 0.7289 0.2289 0.5000  4 Mg 3.16, 4 Mo 3.25-3.34, 4 Y 3.27-3.33
3 Mg 0.2613 0.7613 0.5000  2 Mo 2.86, 4 Y 3.16
4 Mo 0.4681 0.4681 0.0000  2 Mg 2.86, 4 Y 3.16


[11]
Material: Y2MgMo
Method: DFT, PBE-GGA
State: relaxed

Cell lengths 10.5906, 10.5906, 10.5906 Å; angles 18.08, 18.08, 18.08 degrees
With the nearest neighbours (Å) after each atom.
Positions (direct):
1 Y 0.0000 0.0000 0.0000  3 Mo 2.94
2 Y 0.2313 0.2313 0.2313  9 Y 3.33-3.72, 3 Mg 3.42
3 Mg 0.4742 0.4742 0.4742  3 Mo 2.91
4 Mo 0.7378 0.7378 0.7378  3 Mg 2.91, 3 Y 2.94


[12]
Material: YMgMo
Method: DFT, PBE-GGA
State: relaxed

Cell lengths 5.7194, 5.7194, 5.7194 Å; angles 148.11, 138.79, 53.03 degrees
With the nearest neighbours (Å) after each atom.
Positions (direct):
1 Y 0.0000 0.0000 0.0000  5 Mo 3.08-3.40, 5 Mg 3.11-3.25, 2 Y 3.14
2 Mg 0.3035 0.3035 0.0000  4 Mo 2.90, 5 Y 3.11-3.25, 2 Mg 3.14
3 Mo 0.6682 0.6682 0.0000  4 Mg 2.90, 4 Y 3.08, 2 Mo 3.14

E above lowest polymorph   0 meV/atom


[13]
Material: YMg4Mo
Method: DFT, PBE-GGA
State: relaxed

Cell lengths 5.7234, 5.7234, 5.7234 Å; angles 60.00, 60.00, 60.00 degrees
With the nearest neighbours (Å) after each atom.
Positions (direct):
1 Y 0.0000 0.0000 0.0000  12 Mg 3.36, 4 Mo 3.50
2 Mg 0.1275 0.6242 0.6242  6 Mg 2.84-2.88
3 Mg 0.6242 0.1275 0.6242  6 Mg 2.84-2.88
4 Mg 0.6242 0.6242 0.1275  6 Mg 2.84-2.88
5 Mg 0.6242 0.6242 0.6242  6 Mg 2.84-2.88
6 Mo 0.2500 0.2500 0.2500  12 Mg 3.35, 4 Y 3.50


[14]
Material: Mg2ZnMo
Method: DFT, PBE-GGA
State: relaxed

Cell lengths 9.6976, 9.6976, 9.6976 Å; angles 17.36, 17.36, 17.36 degrees
With the nearest neighbours (Å) after each atom.
Positions (direct):
1 Mg 0.2492 0.2492 0.2492  3 Mo 2.91, 6 Mg 2.93, 3 Zn 2.94
2 Mg 0.7508 0.7508 0.7508  3 Mo 2.91, 6 Mg 2.93, 3 Zn 2.94
3 Zn 0.0000 0.0000 0.0000  6 Zn 2.93, 6 Mg 2.94
4 Mo 0.5000 0.5000 0.5000  6 Mg 2.91, 6 Mo 2.93


[15]
Material: Mg2ZnMo
Method: DFT, PBE-GGA
State: relaxed

Cell lengths 2.8015, 4.5861, 5.5248 Å; angles 90.00, 100.58, 90.00 degrees
With the nearest neighbours (Å) after each atom.
Positions (direct):
1 Mg 0.0000 0.0000 0.0000  1 Zn 2.59, 2 Mg 2.80, 2 Mo 2.89
2 Mg 0.3192 0.5000 0.7355  4 Mg 2.80-2.95, 2 Zn 2.81, 3 Mo 2.87-3.05
3 Zn 0.4289 0.0000 0.4566  3 Mg 2.59-2.81, 2 Mo 2.73, 2 Zn 2.80
4 Mo 0.7120 0.5000 0.2559  2 Zn 2.73, 2 Mo 2.80, 5 Mg 2.87-3.05


Values of formation energy from the elements, in order: 0.385, 0.190, 0.830, 0.420, 0.297, 0.415, 1.289, 0.422, 0.211, 0.305, 0.466, 0.379, 0.303, 0.260, 0.232, all in eV per atom.